1.
Density functional theory data (PBE) for NdThMgHg after structural relaxation.

The space group is No. 216. The calculation puts the calculated density at 8.80 g cm⁻³. The calculation puts the raw total energy at -3.6426 eV per atom. The calculation puts the formation energy at -121.6 meV per atom.

```
NdThMgHg
1.0
7.686 0.000 0.000
0.000 7.686 0.000
0.000 0.000 7.686
Nd Th Mg Hg
4 4 4 4
direct
0.000 0.000 0.000
0.000 0.500 0.500
0.500 0.000 0.500
0.500 0.500 0.000
0.000 0.000 0.500
0.000 0.500 0.000
0.500 0.000 0.000
0.500 0.500 0.500
0.250 0.250 0.750
0.250 0.750 0.250
0.750 0.250 0.250
0.750 0.750 0.750
0.250 0.250 0.250
0.250 0.750 0.750
0.750 0.250 0.750
0.750 0.750 0.250
```


2.
Density functional theory data (PBE) for NdMgTlHg after structural relaxation.

The space group is No. 216. The calculation puts the calculated density at 9.21 g cm⁻³. The calculation puts the raw total energy at -2.6341 eV per atom. The calculation puts the formation energy at -376.5 meV per atom.

```
NdMgTlHg
1.0
7.451 0.000 0.000
0.000 7.451 0.000
0.000 0.000 7.451
Nd Mg Tl Hg
4 4 4 4
direct
0.000 0.000 0.000
0.000 0.500 0.500
0.500 0.000 0.500
0.500 0.500 0.000
0.000 0.000 0.500
0.000 0.500 0.000
0.500 0.000 0.000
0.500 0.500 0.500
0.250 0.250 0.250
0.250 0.750 0.750
0.750 0.250 0.750
0.750 0.750 0.250
0.250 0.250 0.750
0.250 0.750 0.250
0.750 0.250 0.250
0.750 0.750 0.750
```